Record 1
Below is CaRu2Pt after structural relaxation, with properties calculated at the PBE level.

Cell lengths 6.4853, 6.4853, 6.4853 Å; angles 90.00, 90.00, 90.00 degrees
Closest atoms and distances in Å follow each position.
Space group F-43m (No. 216)
One atom of each set of equivalent atoms:
Ca: 0.0000 0.0000 0.0000 [4 per cell]  4 Ru 2.81, 4 Pt 2.81
Ru: 0.0000 0.0000 0.5000 [4 per cell]  4 Ru 2.81, 4 Pt 2.81
Ru: 0.2500 0.2500 0.7500 [4 per cell]  4 Ru 2.81, 4 Ca 2.81
Pt: 0.2500 0.2500 0.2500 [4 per cell]  4 Ru 2.81, 4 Ca 2.81

Values from the calculation:
Energy above the lowest structure with this stoichiometry ... 274 meV per atom
Fermi-level density of states ... 1.65 states/eV/atom
Energy relative to the elements ... 284 meV/atom

***

Record 2
Below is Ca2RuPt after structural relaxation, with properties calculated at the PBE level.

Cell lengths 3.3571, 4.7932, 10.5533 Å; angles 90.00, 90.00, 90.00 degrees
Closest atoms and distances in Å follow each position.
Space group Imm2 (No. 44)
One atom of each set of equivalent atoms:
Ca: 0.0000 0.0000 0.0000 [2 per cell]  4 Ru 2.96, 2 Pt 3.21, 2 Ca 3.31
Ca: 0.0000 0.5000 0.2160 [2 per cell]  4 Pt 2.96, 2 Ru 3.22, 2 Ca 3.31
Ru: 0.0000 0.0000 0.4554 [2 per cell]  2 Pt 2.66, 4 Ca 2.96
Pt: 0.0000 0.5000 0.7597 [2 per cell]  2 Ru 2.66, 4 Ca 2.96

Values from the calculation:
Fermi-level density of states ... 0.85 states/eV/atom
Energy relative to the elements ... -148 meV/atom